No. 1
DFT (PBE-GGA) results for a relaxed structure of Ce2PmTmPb4.

The structure in CIF format:
```
data_Ce2PmTmPb4
_cell_length_a 5.1836
_cell_length_b 5.1836
_cell_length_c 31.7032
_cell_angle_alpha 90.00
_cell_angle_beta 90.00
_cell_angle_gamma 120.00
_symmetry_space_group_name_H-M 'R -3 m'
_symmetry_Int_Tables_number 166
_symmetry_space_group_name_Hall '-R 3 2"'
loop_
_atom_site_label
_atom_site_fract_x
_atom_site_fract_y
_atom_site_fract_z
Ce1 0.0000 0.0000 0.2473
Pm1 0.0000 0.0000 0.0000
Tm1 0.0000 0.0000 0.5000
Pb1 0.0000 0.0000 0.1277
Pb2 0.0000 0.0000 0.3758
```

Computed properties:
Fermi-level density of states: 50.24 states/eV per cell

***

No. 2
DFT (PBE-GGA) results for a relaxed structure of CePmYPb.

The structure in CIF format:
```
data_CePmYPb
_cell_length_a 7.7810
_cell_length_b 7.7810
_cell_length_c 7.7810
_cell_angle_alpha 90.00
_cell_angle_beta 90.00
_cell_angle_gamma 90.00
_symmetry_space_group_name_H-M 'F -4 3 m'
_symmetry_Int_Tables_number 216
_symmetry_space_group_name_Hall 'F -4 2 3'
loop_
_atom_site_label
_atom_site_fract_x
_atom_site_fract_y
_atom_site_fract_z
Ce1 0.0000 0.0000 0.0000
Pm1 0.2500 0.2500 0.2500
Y1 0.2500 0.2500 0.7500
Pb1 0.0000 0.0000 0.5000
```

Computed properties:
Fermi-level density of states: 34.55 states/eV per cell

***

No. 3
DFT (PBE-GGA) results for a relaxed structure of Ce2PmZn2Pb2.

The structure in CIF format:
```
data_Ce2PmZn2Pb2
_cell_length_a 4.6307
_cell_length_b 4.6307
_cell_length_c 28.9473
_cell_angle_alpha 90.00
_cell_angle_beta 90.00
_cell_angle_gamma 120.00
_symmetry_space_group_name_H-M 'R -3 m'
_symmetry_Int_Tables_number 166
_symmetry_space_group_name_Hall '-R 3 2"'
loop_
_atom_site_label
_atom_site_fract_x
_atom_site_fract_y
_atom_site_fract_z
Ce1 0.0000 0.0000 0.1444
Pm1 0.0000 0.0000 0.0000
Zn1 0.0000 0.0000 0.4278
Pb1 0.0000 0.0000 0.2697
```

Computed properties:
Fermi-level density of states: 36.00 states/eV per cell

***

No. 4
DFT (PBE-GGA) results for a relaxed structure of CePmZnPb.

The structure in CIF format:
```
data_CePmZnPb
_cell_length_a 7.6084
_cell_length_b 7.6084
_cell_length_c 7.6084
_cell_angle_alpha 90.00
_cell_angle_beta 90.00
_cell_angle_gamma 90.00
_symmetry_space_group_name_H-M 'F -4 3 m'
_symmetry_Int_Tables_number 216
_symmetry_space_group_name_Hall 'F -4 2 3'
loop_
_atom_site_label
_atom_site_fract_x
_atom_site_fract_y
_atom_site_fract_z
Ce1 0.0000 0.0000 0.0000
Pm1 0.0000 0.0000 0.5000
Zn1 0.2500 0.2500 0.7500
Pb1 0.2500 0.2500 0.2500
```

Computed properties:
Fermi-level density of states: 37.36 states/eV per cell

***

Uncorrected energy (computed, eV/atom): -4.874, -5.294, -3.999, -4.238